# Pm12Dy6In (GGA-PBE, relaxed)
# ΔE to the lowest computed polymorph (meV per atom): 19.1
# Total DFT energy (no corrections) (eV/atom): -4.5147
# Density of states at the Fermi level (states/eV per cell): 85.44
# Energy relative to the elements (eV/atom): 0.083
data_Pm12Dy6In
_cell_length_a 13.1161
_cell_length_b 13.1161
_cell_length_c 12.8879
_cell_angle_alpha 90.00
_cell_angle_beta 90.00
_cell_angle_gamma 120.00
_space_group_name_H-M_alt 'R -3'
_space_group_IT_number 148
_space_group_name_Hall '-R 3'
loop_
_atom_site_label
_atom_site_type_symbol
_atom_site_fract_x
_atom_site_fract_y
_atom_site_fract_z
Pm1 Pm 0.0005 0.2598 0.0002
Pm2 Pm 0.0618 0.5312 0.1099
Dy1 Dy 0.0894 0.1799 0.7747
In1 In 0.0000 0.0000 0.0000